! PBE-GGA La3TlGa, relaxed; values from VASP
! Space group: No. 69
! Offset from the most stable computed form, eV per atom: 0.0000
! E_tot, eV per atom: -4.441
! Energy relative to the elements, eV per atom: -0.406
&SYSTEM
  ibrav = 0, nat = 10, ntyp = 3
/
ATOMIC_SPECIES
La 138.91 La.upf
Tl 204.38 Tl.upf
Ga 69.72 Ga.upf
CELL_PARAMETERS angstrom
5.9407 0.0648 -1.3941
-2.0940 5.5598 -1.3941
-0.0925 -0.1353 9.3106
ATOMIC_POSITIONS angstrom
La -0.3946 3.7339 6.9681
La 4.1487 1.7554 -0.4458
La 0.9405 0.5343 2.3768
La 1.6740 1.6067 5.5397
La 2.8137 4.9550 4.1456
La 2.0802 3.8825 0.9826
Tl 4.0648 1.6327 3.1325
Tl -0.3106 3.8566 3.3898
Ga 2.8870 4.2170 -2.0912
Ga 0.9597 1.4075 -0.6971